# 1
Density functional theory data (GGA-PBE) for a relaxed structure of BeTe2RuO.

Raw formation energy ... -0.1577 eV per atom
Crystal system ... tetragonal
Energy ... -25.0 eV/cell
Magnetization ... 1.55 μB/cell

a = 5.3578 Å, b = 5.3578 Å, c = 2.9975 Å
α = 90.00°, β = 90.00°, γ = 90.00°
Space group P4/mmm (No. 123)
Unique sites:
Be1 0.0000 0.0000 0.0000 [1 per cell]
Te1 0.0000 0.5000 0.0000 [2 per cell]
Ru1 0.5000 0.5000 0.5000 [1 per cell]
O1 0.0000 0.0000 0.5000 [1 per cell]

# 2
Density functional theory data (GGA-PBE) for a relaxed structure of BeTeRu2O.

Raw formation energy ... 0.6625 eV per atom
Crystal system ... tetragonal
Energy ... -27.1 eV/cell
Magnetization ... 0.00 μB/cell

a = 4.0666 Å, b = 4.0666 Å, c = 4.5144 Å
α = 90.00°, β = 90.00°, γ = 90.00°
Space group P4/mmm (No. 123)
Unique sites:
Be1 0.0000 0.0000 0.0000 [1 per cell]
Te1 0.5000 0.5000 0.0000 [1 per cell]
Ru1 0.0000 0.5000 0.5000 [2 per cell]
O1 0.5000 0.5000 0.5000 [1 per cell]

# 3
Density functional theory data (GGA-PBE) for a relaxed structure of BeSO2.

Raw formation energy ... -0.7358 eV per atom
Crystal system ... tetragonal
Energy ... -82.9 eV/cell
ΔE to the lowest computed polymorph ... 9.14 kcal/mol of atoms
Magnetization ... 0.00 μB/cell

a = 4.6014 Å, b = 4.6014 Å, c = 7.5468 Å
α = 90.00°, β = 90.00°, γ = 90.00°
Space group I-42d (No. 122)
Unique sites:
Be1 0.0000 0.0000 0.0000 [4 per cell]
S1 0.0000 0.0000 0.5000 [4 per cell]
O1 0.1458 0.2500 0.1250 [8 per cell]

# 4
Density functional theory data (GGA-PBE) for a relaxed structure of BeSO8.

Raw formation energy ... -0.0084 eV per atom
Crystal system ... tetragonal
Energy ... -190.4 eV/cell
Magnetization ... 32.03 μB/cell

a = 8.0347 Å, b = 8.0347 Å, c = 8.7923 Å
α = 90.00°, β = 90.00°, γ = 90.00°
Space group I-4c2 (No. 120)
Unique sites:
Be1 0.0000 0.0000 0.0000 [4 per cell]
S1 0.0000 0.5000 0.2500 [4 per cell]
O1 0.0792 0.3697 0.3465 [16 per cell]
O2 0.0857 0.1249 0.8808 [16 per cell]

# 5
Density functional theory data (GGA-PBE) for a relaxed structure of BeS2O6.

Raw formation energy ... -1.3370 eV per atom
Crystal system ... monoclinic
Energy ... -215.1 eV/cell
Magnetization ... 0.00 μB/cell

a = 10.8028 Å, b = 9.8531 Å, c = 6.6734 Å
α = 90.00°, β = 127.96°, γ = 90.00°
Space group C2/c (No. 15)
Unique sites:
Be1 0.0000 0.2485 0.2500 [4 per cell]
S1 0.2493 0.4313 0.3758 [8 per cell]
O1 0.1050 0.1537 0.5052 [8 per cell]
O2 0.1066 0.3427 0.2068 [8 per cell]
O3 0.2477 0.4540 0.7319 [8 per cell]

# 6
Density functional theory data (GGA-PBE) for a relaxed structure of BeSO2.

Raw formation energy ... -1.1320 eV per atom
Crystal system ... trigonal
Energy ... -66.9 eV/cell
ΔE to the lowest computed polymorph ... 0.00 kcal/mol of atoms
Magnetization ... 0.00 μB/cell

a = 2.6796 Å, b = 2.6796 Å, c = 16.2302 Å
α = 90.00°, β = 90.00°, γ = 120.00°
Space group R-3m (No. 166, hexagonal axes)
Unique sites:
Be1 0.0000 0.0000 0.0000 [3 per cell]
S1 0.0000 0.0000 0.5000 [3 per cell]
O1 0.0000 0.0000 0.3923 [6 per cell]

# 7
Density functional theory data (GGA-PBE) for a relaxed structure of BeS2O.

Raw formation energy ... 0.8076 eV per atom
Crystal system ... cubic
Energy ... -54.8 eV/cell
ΔE to the lowest computed polymorph ... 20.55 kcal/mol of atoms
Magnetization ... 0.00 μB/cell

a = 5.6726 Å, b = 5.6726 Å, c = 5.6726 Å
α = 90.00°, β = 90.00°, γ = 90.00°
Space group Fm-3m (No. 225)
Unique sites:
Be1 0.0000 0.0000 0.0000 [4 per cell]
S1 0.2500 0.2500 0.2500 [8 per cell]
O1 0.0000 0.0000 0.5000 [4 per cell]

# 8
Density functional theory data (GGA-PBE) for a relaxed structure of BeSO4.

Raw formation energy ... -1.5787 eV per atom
Crystal system ... monoclinic
Energy ... -148.6 eV/cell
Magnetization ... 0.00 μB/cell

a = 7.2954 Å, b = 5.5559 Å, c = 7.2945 Å
α = 90.00°, β = 98.20°, γ = 90.00°
Space group C2/c (No. 15)
Unique sites:
Be1 0.2500 0.2500 0.0000 [4 per cell]
S1 0.0000 0.0672 0.2500 [4 per cell]
O1 0.0439 0.2189 0.0954 [8 per cell]
O2 0.1660 0.0854 0.8123 [8 per cell]

# 9
Density functional theory data (GGA-PBE) for a relaxed structure of BeSO2.

Raw formation energy ... 0.5045 eV per atom
Crystal system ... cubic
Energy ... -63.0 eV/cell
ΔE to the lowest computed polymorph ... 37.74 kcal/mol of atoms
Magnetization ... 0.00 μB/cell

a = 5.2925 Å, b = 5.2925 Å, c = 5.2925 Å
α = 90.00°, β = 90.00°, γ = 90.00°
Space group Fm-3m (No. 225)
Unique sites:
Be1 0.0000 0.0000 0.0000 [4 per cell]
S1 0.0000 0.0000 0.5000 [4 per cell]
O1 0.2500 0.2500 0.2500 [8 per cell]

# 10
Density functional theory data (GGA-PBE) for a relaxed structure of BeS2O.

Raw formation energy ... -0.0837 eV per atom
Crystal system ... trigonal
Energy ... -51.8 eV/cell
ΔE to the lowest computed polymorph ... 0.00 kcal/mol of atoms
Magnetization ... 0.00 μB/cell

a = 3.4027 Å, b = 3.4027 Å, c = 16.8416 Å
α = 90.00°, β = 90.00°, γ = 120.00°
Space group R-3m (No. 166, hexagonal axes)
Unique sites:
Be1 0.0000 0.0000 0.0000 [3 per cell]
S1 0.0000 0.0000 0.3988 [6 per cell]
O1 0.0000 0.0000 0.5000 [3 per cell]

# 11
Density functional theory data (GGA-PBE) for a relaxed structure of BeS2O.

Raw formation energy ... 0.1831 eV per atom
Crystal system ... tetragonal
Energy ... -64.8 eV/cell
ΔE to the lowest computed polymorph ... 6.15 kcal/mol of atoms
Magnetization ... 0.00 μB/cell

a = 4.6139 Å, b = 4.6139 Å, c = 11.0743 Å
α = 90.00°, β = 90.00°, γ = 90.00°
Space group I-42d (No. 122)
Unique sites:
Be1 0.0000 0.0000 0.0000 [4 per cell]
S1 0.2392 0.2500 0.1250 [8 per cell]
O1 0.0000 0.0000 0.5000 [4 per cell]

# 12
Density functional theory data (GGA-PBE) for a relaxed structure of Be3Zn4Si3SO12.

Raw formation energy ... -2.3015 eV per atom
Crystal system ... cubic
Energy ... -298.2 eV/cell
Magnetization ... 0.00 μB/cell

a = 8.1964 Å, b = 8.1964 Å, c = 8.1964 Å
α = 90.00°, β = 90.00°, γ = 90.00°
Space group P-43n (No. 218)
Unique sites:
Be1 0.0000 0.2500 0.5000 [6 per cell]
Zn1 0.1659 0.1659 0.1659 [8 per cell]
Si1 0.0000 0.5000 0.2500 [6 per cell]
S1 0.0000 0.0000 0.0000 [2 per cell]
O1 0.0930 0.3619 0.6378 [24 per cell]

# 13
Density functional theory data (GGA-PBE) for a relaxed structure of SrBeS2O8.

Raw formation energy ... -1.9133 eV per atom
Crystal system ... monoclinic
Energy ... -152.6 eV/cell
Magnetization ... 0.00 μB/cell

a = 7.8326 Å, b = 5.0733 Å, c = 7.3249 Å
α = 90.00°, β = 95.92°, γ = 90.00°
Space group C2/m (No. 12)
Unique sites:
Sr1 0.0000 0.0000 0.0000 [2 per cell]
Be1 0.0000 0.0000 0.5000 [2 per cell]
S1 0.1373 0.5000 0.2931 [4 per cell]
O1 0.0296 0.2596 0.3099 [8 per cell]
O2 0.1906 0.5000 0.1026 [4 per cell]
O3 0.2175 0.0000 0.5645 [4 per cell]

# 14
Density functional theory data (GGA-PBE) for a relaxed structure of TaBeS2O.

Raw formation energy ... -0.4796 eV per atom
Crystal system ... tetragonal
Energy ... -31.2 eV/cell
ΔE to the lowest computed polymorph ... 2.04 kcal/mol of atoms
Magnetization ... 0.00 μB/cell

a = 4.5885 Å, b = 4.5885 Å, c = 3.0603 Å
α = 90.00°, β = 90.00°, γ = 90.00°
Space group P4/mmm (No. 123)
Unique sites:
Ta1 0.0000 0.0000 0.0000 [1 per cell]
Be1 0.5000 0.5000 0.5000 [1 per cell]
S1 0.0000 0.5000 0.5000 [2 per cell]
O1 0.5000 0.5000 0.0000 [1 per cell]

# 15
Density functional theory data (GGA-PBE) for a relaxed structure of TaBeS2O.

Raw formation energy ... -0.5682 eV per atom
Crystal system ... tetragonal
Energy ... -31.6 eV/cell
ΔE to the lowest computed polymorph ... 0.00 kcal/mol of atoms
Magnetization ... 0.00 μB/cell

a = 4.8663 Å, b = 4.8663 Å, c = 3.8256 Å
α = 90.00°, β = 90.00°, γ = 90.00°
Space group P4/mmm (No. 123)
Unique sites:
Ta1 0.0000 0.0000 0.0000 [1 per cell]
Be1 0.5000 0.5000 0.5000 [1 per cell]
S1 0.0000 0.5000 0.0000 [2 per cell]
O1 0.0000 0.0000 0.5000 [1 per cell]

# 16
Density functional theory data (GGA-PBE) for a relaxed structure of Be2SbO.

Raw formation energy ... 0.6086 eV per atom
Crystal system ... cubic
Energy ... -56.4 eV/cell
ΔE to the lowest computed polymorph ... 32.67 kcal/mol of atoms
Magnetization ... 4.06 μB/cell

a = 5.9693 Å, b = 5.9693 Å, c = 5.9693 Å
α = 90.00°, β = 90.00°, γ = 90.00°
Space group Fm-3m (No. 225)
Unique sites:
Be1 0.2500 0.2500 0.2500 [8 per cell]
Sb1 0.0000 0.0000 0.0000 [4 per cell]
O1 0.0000 0.0000 0.5000 [4 per cell]

# 17
Density functional theory data (GGA-PBE) for a relaxed structure of BeSbO2.

Raw formation energy ... -1.2438 eV per atom
Crystal system ... trigonal
Energy ... -68.2 eV/cell
ΔE to the lowest computed polymorph ... 4.30 kcal/mol of atoms
Magnetization ... 0.00 μB/cell

a = 2.9242 Å, b = 2.9242 Å, c = 17.7474 Å
α = 90.00°, β = 90.00°, γ = 120.00°
Space group R-3m (No. 166, hexagonal axes)
Unique sites:
Be1 0.0000 0.0000 0.0000 [3 per cell]
Sb1 0.0000 0.0000 0.5000 [3 per cell]
O1 0.0000 0.0000 0.3844 [6 per cell]

# 18
Density functional theory data (GGA-PBE) for a relaxed structure of BeSb3O.

Raw formation energy ... 0.4047 eV per atom
Crystal system ... cubic
Energy ... -19.0 eV/cell
ΔE to the lowest computed polymorph ... 0.00 kcal/mol of atoms
Magnetization ... 0.00 μB/cell

a = 4.7263 Å, b = 4.7263 Å, c = 4.7263 Å
α = 90.00°, β = 90.00°, γ = 90.00°
Space group Pm-3m (No. 221)
Unique sites:
Be1 0.0000 0.0000 0.0000 [1 per cell]
Sb1 0.0000 0.5000 0.5000 [3 per cell]
O1 0.5000 0.5000 0.5000 [1 per cell]

# 19
Density functional theory data (GGA-PBE) for a relaxed structure of Be2SbO.

Raw formation energy ... -0.8081 eV per atom
Crystal system ... tetragonal
Energy ... -79.1 eV/cell
ΔE to the lowest computed polymorph ... 0.00 kcal/mol of atoms
Magnetization ... 0.00 μB/cell

a = 4.7032 Å, b = 4.7032 Å, c = 9.4460 Å
α = 90.00°, β = 90.00°, γ = 90.00°
Space group I-42d (No. 122)
Unique sites:
Be1 0.0865 0.2500 0.1250 [8 per cell]
Sb1 0.0000 0.0000 0.5000 [4 per cell]
O1 0.0000 0.0000 0.0000 [4 per cell]

# 20
Density functional theory data (GGA-PBE) for a relaxed structure of BeSbO2.

Raw formation energy ... -1.0448 eV per atom
Crystal system ... trigonal
Energy ... -65.8 eV/cell
ΔE to the lowest computed polymorph ... 8.89 kcal/mol of atoms
Magnetization ... 0.00 μB/cell

a = 3.1809 Å, b = 3.1809 Å, c = 18.8138 Å
α = 90.00°, β = 90.00°, γ = 120.00°
Space group R-3m (No. 166, hexagonal axes)
Unique sites:
Be1 0.0000 0.0000 0.0000 [3 per cell]
Sb1 0.0000 0.0000 0.5000 [3 per cell]
O1 0.0000 0.0000 0.0763 [6 per cell]

# 21
Density functional theory data (GGA-PBE) for a relaxed structure of BeSb2O.

Raw formation energy ... -0.0759 eV per atom
Crystal system ... tetragonal
Energy ... -68.9 eV/cell
Magnetization ... 0.00 μB/cell

a = 5.1986 Å, b = 5.1986 Å, c = 11.9246 Å
α = 90.00°, β = 90.00°, γ = 90.00°
Space group I-42d (No. 122)
Unique sites:
Be1 0.0000 0.0000 0.0000 [4 per cell]
Sb1 0.2294 0.2500 0.6250 [8 per cell]
O1 0.0000 0.0000 0.5000 [4 per cell]

# 22
Density functional theory data (GGA-PBE) for a relaxed structure of Be3SbO.

Raw formation energy ... 1.3803 eV per atom
Crystal system ... cubic
Energy ... -13.4 eV/cell
ΔE to the lowest computed polymorph ... 34.98 kcal/mol of atoms
Magnetization ... 0.00 μB/cell

a = 4.5749 Å, b = 4.5749 Å, c = 4.5749 Å
α = 90.00°, β = 90.00°, γ = 90.00°
Space group Pm-3m (No. 221)
Unique sites:
Be1 0.0000 0.0000 0.5000 [3 per cell]
Sb1 0.0000 0.0000 0.0000 [1 per cell]
O1 0.5000 0.5000 0.5000 [1 per cell]

# 23
Density functional theory data (GGA-PBE) for a relaxed structure of BeSbO2.

Raw formation energy ... -0.1547 eV per atom
Crystal system ... cubic
Energy ... -73.5 eV/cell
ΔE to the lowest computed polymorph ... 29.41 kcal/mol of atoms
Magnetization ... 0.00 μB/cell

a = 5.7099 Å, b = 5.7099 Å, c = 5.7099 Å
α = 90.00°, β = 90.00°, γ = 90.00°
Space group Fm-3m (No. 225)
Unique sites:
Be1 0.0000 0.0000 0.0000 [4 per cell]
Sb1 0.0000 0.0000 0.5000 [4 per cell]
O1 0.2500 0.2500 0.2500 [8 per cell]

# 24
Density functional theory data (GGA-PBE) for a relaxed structure of Be3SbO.

Raw formation energy ... -0.1367 eV per atom
Crystal system ... cubic
Energy ... -20.9 eV/cell
ΔE to the lowest computed polymorph ... 0.00 kcal/mol of atoms
Magnetization ... 0.00 μB/cell

a = 3.8640 Å, b = 3.8640 Å, c = 3.8640 Å
α = 90.00°, β = 90.00°, γ = 90.00°
Space group Pm-3m (No. 221)
Unique sites:
Be1 0.0000 0.0000 0.5000 [3 per cell]
Sb1 0.5000 0.5000 0.5000 [1 per cell]
O1 0.0000 0.0000 0.0000 [1 per cell]